No. 1
Computed, not measured: a relaxed structure of Na2TiSbSe4 at the PBE level of DFT.

## Properties
The value obtained for the formation energy from raw total energies is -7.01 eV per formula unit.

Structure (extended XYZ):
```
8
Lattice="-0.9741 -3.1582 -2.1522 2.7306 -4.2259 4.9653 -7.0395 1.0835 1.5961" Properties=species:S:1:pos:R:3 pbc="T T T"
Na -4.0068 -1.0374 -0.2780
Na -2.1545 -1.5712 3.2807
Ti 0.8783 -3.6920 1.4066
Sb 0.0000 0.0000 0.0000
Se -1.3332 -2.4465 0.5798
Se -3.9498 -3.8541 3.8295
Se -4.7939 -0.3182 2.6366
Se 0.4850 -2.8242 3.9249
```

***

No. 2
Computed, not measured: a relaxed structure of Sc2TlPb at the PBE level of DFT.

## Properties
The energy above the most stable polymorph in this dataset comes out at 0.000 eV/atom. Its formation energy is -319 meV/atom.

Structure (extended XYZ):
```
4
Lattice="6.0826 -0.0147 -0.0693 3.0491 5.2502 0.0746 -4.4545 -2.8076 3.0276" Properties=species:S:1:pos:R:3 pbc="T T T"
Pb 1.6024 2.5444 1.5521
Sc 9.1278 5.2340 0.0061
Sc 3.0949 -0.1030 1.4794
Tl 4.5504 2.6068 0.0033
```

***

No. 3
Computed, not measured: a relaxed structure of TbTm7Cd4 at the PBE level of DFT.

## Properties
Its formation energy is 31 meV/atom.

Structure (extended XYZ):
```
12
Lattice="5.6415 0.0000 0.0000 2.8207 8.4031 0.9555 2.8207 1.0815 7.1821" Properties=species:S:1:pos:R:3 pbc="T T T"
Tb 0.0000 0.0000 0.0000
Tm 8.4622 7.9787 4.6682
Tm 2.8207 1.5059 3.4694
Tm 2.8207 5.2046 2.4986
Tm 8.4622 4.2800 5.6390
Tm 5.6415 6.6895 6.2919
Tm 2.8207 0.0000 0.0000
Tm 5.6415 2.7951 1.8457
Cd 5.6415 3.1072 4.7753
Cd 5.6415 6.3774 3.3624
Cd 8.4622 6.5972 7.6560
Cd 2.8207 2.8874 0.4817
```

***

No. 4
Computed, not measured: a relaxed structure of NaTaBe2 at the PBE level of DFT.

## Properties
The energy above the most stable polymorph in this dataset comes out at 0.335 eV/atom. Its formation energy is 1135 meV/atom.

Structure (extended XYZ):
```
8
Lattice="6.6203 0.0000 0.0000 0.0000 6.6203 0.0000 3.3102 3.3102 2.8958" Properties=species:S:1:pos:R:3 pbc="T T T"
Na 3.3102 3.3102 0.0000
Na 3.3102 6.6203 1.4479
Be 5.0088 1.6551 0.7240
Be 1.6115 4.9653 0.7240
Be 4.9653 4.9217 2.1719
Be 8.2754 8.3190 2.1719
Ta 0.0000 0.0000 0.0000
Ta 6.6203 3.3102 1.4479
```

***

No. 5
Computed, not measured: a relaxed structure of KAlV2 at the PBE level of DFT.

## Properties
Its formation energy is 1215 meV/atom.

Structure (extended XYZ):
```
8
Lattice="4.4103 0.0000 0.0000 0.0000 4.4103 0.0000 2.2051 2.2051 10.0288" Properties=species:S:1:pos:R:3 pbc="T T T"
K 0.0000 0.0000 0.0000
K 4.4103 2.2051 5.0144
Al 2.2051 2.2051 0.0000
Al 2.2051 4.4103 5.0144
V 2.1242 1.1026 2.5072
V 2.2861 3.3077 2.5072
V 3.3077 4.4912 7.5216
V 5.5128 4.3293 7.5216
```

***

No. 6
Computed, not measured: a relaxed structure of PrZn12Ag7 at the PBE level of DFT.

## Properties
Its formation energy is 184 meV/atom.

Structure (extended XYZ):
```
20
Lattice="-8.1404 -0.4205 0.5817 3.3015 -0.6762 7.4447 2.1294 7.1742 -3.2828" Properties=species:S:1:pos:R:3 pbc="T T T"
Pr 0.0000 0.0000 0.0000
Zn -0.7868 4.0085 0.0734
Zn -0.1787 0.1096 5.4539
Zn -1.9227 2.0691 4.6703
Zn -2.5307 5.9680 -0.7103
Zn -3.2081 1.2855 2.1791
Zn -4.6120 0.9674 4.5078
Zn 0.4986 4.7921 2.5646
Zn 1.9025 5.1102 0.2359
Zn -5.0128 2.1579 0.0686
Zn 2.3033 3.9197 4.6751
Zn 0.7277 2.0345 3.4676
Zn -3.4372 4.0431 1.2761
Ag -3.0055 3.3769 -1.3505
Ag -2.4194 -0.5483 4.0132
Ag 2.7154 3.2490 2.0810
Ag 1.0647 3.5871 -1.6414
Ag -4.0702 -0.2102 0.2909
Ag -1.3547 3.0388 2.3718
Ag 1.6507 -0.3381 3.7223
```

***

| no. | total DFT energy (no corrections) (eV for the cell shown) |
| --- | --- |
| 1 | -35.601 |
| 2 | -20.014 |
| 3 | -39.217 |
| 4 | -32.165 |
| 5 | -36.435 |
| 6 | -36.344 |